[1]
Here is an optimized crystal structure of Tb2Nd3Sm6 from Alexandria via LeMat-Bulk. Energies are from PBE-GGA.

Lattice parameters (Å, degrees): 4.8243 4.8243 17.1572 98.08 98.08 90.00
Sites, in units of the cell vectors:
Nd1 0.2015 0.2015 0.4031
Nd2 0.0000 0.0000 0.0000
Nd3 0.7985 0.7985 0.5969
Sm1 0.6959 0.6959 0.3917
Sm2 0.6197 0.1197 0.2395
Sm3 0.3803 0.8803 0.7605
Sm4 0.8803 0.3803 0.7605
Sm5 0.3041 0.3041 0.6083
Sm6 0.1197 0.6197 0.2395
Tb1 0.5455 0.5455 0.0910
Tb2 0.4545 0.4545 0.9090

- energy relative to the elements (eV/atom) = 0.27
- V (Å³/atom) = 35.6
- theoretical density (g/cm³) = 7.013
- space-group type = I4/mmm
- energy relative to the lowest polymorph listed for this composition (eV/f.u.) = 2.81

***

[2]
Here is an optimized crystal structure of SiSnHCl2 from Alexandria via LeMat-Bulk. Energies are from PBE-GGA.

Lattice parameters (Å, degrees): 4.6842 5.5964 4.6842 90.00 90.00 90.00
Sites, in units of the cell vectors:
Si1 0.0000 0.0000 0.0000
H1 0.5000 0.5000 0.5000
Cl1 0.0000 0.0000 0.5000
Cl2 0.5000 0.0000 0.0000
Sn1 0.0000 0.5000 0.0000

- calculated total energy (eV for the cell shown) = -15.23
- V (Å³/atom) = 24.6
- theoretical density (g/cm³) = 2.958
- space-group type = P4/mmm